# 1
The following is a GGA-PBE calculation of a relaxed structure of TlGa2F6, from the Alexandria database.

Results
The calculated total energy comes out at -78.9 eV per cell. The value obtained for the uncorrected formation energy is -2.198 eV per atom. The calculation puts the calculated volume at 17.3 Å³/atom. The density comes out at 4886 kg/m³. As for the space group: C2/c, No. 15. Its relative energy among the computed polymorphs is 44 meV/atom.

Structure (extended XYZ):
```
18
Lattice="-3.458 -4.678 0.907 3.752 -7.037 -0.486 -0.424 -2.380 7.615" Properties=species:S:1:pos:R:3 pbc="T T T"
Ga -0.340 -5.549 1.685
F 2.836 -9.141 3.787
F -0.785 -9.370 7.911
F -2.966 -4.955 4.249
F -1.970 -4.852 1.223
Ga 0.530 -2.252 2.898
F 0.445 -4.242 2.914
F 1.839 -9.243 6.813
F -1.125 -6.758 3.059
Tl -0.570 -4.352 6.447
F -0.596 -2.117 1.460
F 0.466 -11.979 6.576
F 0.655 -4.726 0.125
Ga -0.660 -11.844 5.139
F -0.576 -9.854 5.122
F 0.994 -7.338 4.977
Tl 0.439 -9.744 1.589
Ga 0.210 -8.547 6.352
```

---

# 2
The following is a GGA-PBE calculation of a relaxed structure of TlGa2F7, from the Alexandria database.

Results
The calculated total energy comes out at -45.3 eV per cell. The value obtained for the uncorrected formation energy is -2.373 eV per atom. The calculation puts the calculated volume at 13.5 Å³/atom. The density comes out at 5855 kg/m³. As for the space group: Cmmm, No. 65.

Structure (extended XYZ):
```
10
Lattice="-2.706 0.132 2.747 4.553 -0.648 4.515 -1.923 5.756 -2.171" Properties=species:S:1:pos:R:3 pbc="T T T"
F -1.808 2.039 0.831
F 0.141 0.111 2.843
F 0.051 3.804 -0.132
F 1.732 3.201 4.261
F 2.579 1.304 2.477
F -0.038 2.620 2.546
Tl 0.000 0.000 0.000
Ga -1.191 3.761 1.355
Ga 1.116 1.479 3.737
F -0.217 5.128 2.249
```

---

- What is the calculated total energy in the first record?
  -78.9 eV per cell